First-principles (PBE) data for a geometry-optimized ThSnHg2 structure, as listed in Alexandria via LeMat-Bulk.

Output
- Calculated formation energy: -211 meV per atom
- VASP energy: -0.237 Ry per atom

a = 4.8388 Å, b = 4.8388 Å, c = 15.7949 Å
α = 90.00°, β = 90.00°, γ = 120.00°
Space group R-3m (No. 166, hexagonal axes)
Inequivalent atoms, fractional coordinates:
Th  0.0000  0.0000  0.0000
Sn  0.0000  0.0000  0.5000
Hg  0.0000  0.0000  0.2399

First-principles (PBE) data for a geometry-optimized MnBPt3 structure, as listed in Alexandria via LeMat-Bulk.

Output
- Calculated formation energy: -164 meV per atom
- VASP energy: -0.511 Ry per atom

a = 4.204 Å, b = 4.204 Å, c = 4.204 Å
α = 90.00°, β = 90.00°, γ = 90.00°
Space group Pm-3m (No. 221)
Inequivalent atoms, fractional coordinates:
Mn  0.000  0.000  0.000
B  0.500  0.500  0.500
Pt  0.000  0.500  0.500

First-principles (PBE) data for a geometry-optimized Ca3Cd2Hg3 structure, as listed in Alexandria via LeMat-Bulk.

Output
- Calculated formation energy: -364 meV per atom
- VASP energy: -0.107 Ry per atom

a = 7.7969 Å, b = 7.7969 Å, c = 4.2005 Å
α = 90.00°, β = 90.00°, γ = 120.00°
Space group P-62m (No. 189)
Inequivalent atoms, fractional coordinates:
Ca  0.0000  0.6303  0.0000
Cd  0.3333  0.6667  0.5000
Hg  0.0000  0.2408  0.5000

First-principles (PBE) data for a geometry-optimized TlCu4Te3O12 structure, as listed in Alexandria via LeMat-Bulk.

Output
- Formation energy from raw total energies: -0.733 eV per atom
- VASP energy: -0.376 Ry per atom

a = 11.4341 Å, b = 11.4341 Å, c = 7.6437 Å
α = 90.00°, β = 90.00°, γ = 120.00°
Space group R32 (No. 155, hexagonal axes)
Inequivalent atoms, fractional coordinates:
Tl  0.0000  0.0000  0.0000
Cu  0.0000  0.0000  0.5000
Cu  0.0000  0.3617  0.5000
Te  0.0000  0.5723  0.0000
O  0.0000  0.6034  0.5000
O  0.0000  0.8262  0.5000
O  0.0725  0.2242  0.2089

First-principles (PBE) data for a geometry-optimized Al10ZnGa6 structure, as listed in Alexandria via LeMat-Bulk.

Output
- Calculated formation energy: 107 meV per atom
- VASP energy: -0.238 Ry per atom

a = 7.9727 Å, b = 7.9727 Å, c = 5.4627 Å
α = 90.00°, β = 90.00°, γ = 120.00°
Space group P-31m (No. 162)
Inequivalent atoms, fractional coordinates:
Al  0.0000  0.2721  0.3002
Al  0.3333  0.6667  0.0000
Al  0.3333  0.6667  0.5000
Zn  0.0000  0.0000  0.0000
Ga  0.0000  0.3836  0.7791

First-principles (PBE) data for a geometry-optimized LiPSe2Br structure, as listed in Alexandria via LeMat-Bulk.

Output
- Formation energy from raw total energies: -0.064 eV per atom
- VASP energy: -0.239 Ry per atom
- E above lowest polymorph: 0 meV/atom

a = 4.806 Å, b = 4.806 Å, c = 5.495 Å
α = 90.00°, β = 90.00°, γ = 90.00°
Space group P4/mmm (No. 123)
Inequivalent atoms, fractional coordinates:
Li  0.000  0.000  0.000
P  0.500  0.500  0.500
Se  0.000  0.500  0.500
Br  0.500  0.500  0.000

First-principles (PBE) data for a geometry-optimized LaY2Sc structure, as listed in Alexandria via LeMat-Bulk.

Output
- Calculated formation energy: 59 meV per atom
- VASP energy: -0.440 Ry per atom
- E above lowest polymorph: 25 meV/atom

a = 3.541 Å, b = 3.541 Å, c = 10.068 Å
α = 90.00°, β = 90.00°, γ = 90.00°
Space group P4/mmm (No. 123)
Inequivalent atoms, fractional coordinates:
La  0.000  0.000  0.000
Y  0.500  0.500  0.270
Sc  0.000  0.000  0.500

First-principles (PBE) data for a geometry-optimized Y2ErTm structure, as listed in Alexandria via LeMat-Bulk.

Output
- Calculated formation energy: 135 meV per atom
- VASP energy: -0.394 Ry per atom
- E above lowest polymorph: 135 meV/atom

a = 7.987 Å, b = 7.987 Å, c = 7.987 Å
α = 90.00°, β = 90.00°, γ = 90.00°
Space group Fm-3m (No. 225)
Inequivalent atoms, fractional coordinates:
Y  0.250  0.250  0.250
Er  0.000  0.000  0.000
Tm  0.000  0.000  0.500

First-principles (PBE) data for a geometry-optimized SrY2As structure, as listed in Alexandria via LeMat-Bulk.

Output
- Calculated formation energy: -630 meV per atom
- VASP energy: -0.400 Ry per atom

a = 4.0249 Å, b = 4.0249 Å, c = 29.9528 Å
α = 90.00°, β = 90.00°, γ = 120.00°
Space group R-3m (No. 166, hexagonal axes)
Inequivalent atoms, fractional coordinates:
Sr  0.0000  0.0000  0.0000
Y  0.0000  0.0000  0.2207
As  0.0000  0.0000  0.5000

First-principles (PBE) data for a geometry-optimized ReMoPt2 structure, as listed in Alexandria via LeMat-Bulk.

Output
- Calculated formation energy: 137 meV per atom
- VASP energy: -0.640 Ry per atom
- E above lowest polymorph: 291 meV/atom

a = 3.410 Å, b = 3.410 Å, c = 5.409 Å
α = 90.00°, β = 90.00°, γ = 90.00°
Space group P4/mmm (No. 123)
Inequivalent atoms, fractional coordinates:
Re  0.000  0.000  0.000
Mo  0.000  0.000  0.500
Pt  0.500  0.500  0.249

First-principles (PBE) data for a geometry-optimized Na3Pm3ZrO8 structure, as listed in Alexandria via LeMat-Bulk.

Output
- Formation energy from raw total energies: -2.792 eV per atom
- VASP energy: -0.531 Ry per atom

a = 7.0018 Å, b = 7.0018 Å, c = 16.7953 Å
α = 90.00°, β = 90.00°, γ = 120.00°
Space group R-3m (No. 166, hexagonal axes)
Inequivalent atoms, fractional coordinates:
Na  0.0000  0.5000  0.0000
Pm  0.0000  0.5000  0.5000
Zr  0.0000  0.0000  0.5000
O  0.0000  0.0000  0.2381
O  0.0297  0.5149  0.2333

First-principles (PBE) data for a geometry-optimized CrTeAu2 structure, as listed in Alexandria via LeMat-Bulk.

Output
- Formation energy from raw total energies: 0.258 eV per atom
- VASP energy: -0.336 Ry per atom

a = 7.864 Å, b = 7.864 Å, c = 5.456 Å
α = 90.00°, β = 90.00°, γ = 90.00°
Space group I-42d (No. 122)
Inequivalent atoms, fractional coordinates:
Cr  0.000  0.000  0.000
Te  0.000  0.000  0.500
Au  0.242  0.250  0.125

Question: Among the records above, which one has the highest VASP energy?
Answer: Ca3Cd2Hg3